! PBE TbHo2Pt, optimized geometry; values from VASP
! space-group type: R3m
! ΔH_f (0 K): -0.528 eV/atom
! distance to the lowest polymorph of the same formula: 193 meV/atom
&SYSTEM
  ibrav = 0, nat = 12, ntyp = 3
/
ATOMIC_SPECIES
Tb 158.93 Tb.upf
Ho 164.93 Ho.upf
Pt 195.08 Pt.upf
CELL_PARAMETERS angstrom
3.909 0.000 0.000
-1.954 3.385 0.000
0.000 0.000 26.903
ATOMIC_POSITIONS angstrom
Tb 0.000 0.000 0.000
Tb 0.000 2.257 17.935
Tb 1.954 1.128 8.968
Ho 0.000 0.000 6.175
Ho 0.000 0.000 11.869
Ho 0.000 2.257 2.901
Ho 0.000 2.257 24.110
Ho 1.954 1.128 15.143
Ho 1.954 1.128 20.836
Pt 0.000 0.000 22.489
Pt 0.000 2.257 13.521
Pt 1.954 1.128 4.553

! PBE Sr2CePuAs4, optimized geometry; values from VASP
! space-group type: P2/m
! ΔH_f (0 K): -1.152 eV/atom
&SYSTEM
  ibrav = 0, nat = 8, ntyp = 4
/
ATOMIC_SPECIES
Sr 87.62 Sr.upf
Ce 140.12 Ce.upf
Pu 244.00 Pu.upf
As 74.92 As.upf
CELL_PARAMETERS angstrom
7.468 0.000 0.000
0.000 4.318 0.000
-2.499 0.000 7.091
ATOMIC_POSITIONS angstrom
Sr 0.000 0.000 0.000
Sr 3.734 2.159 0.000
Ce -1.249 2.159 3.545
Pu 2.485 0.000 3.545
As 0.007 0.000 5.094
As 1.266 2.159 2.019
As 3.703 2.159 5.072
As 4.962 0.000 1.997

! PBE BeB, optimized geometry; values from VASP
! space-group type: P6_3/m
! ΔH_f (0 K): 0.233 eV/atom
! distance to the lowest polymorph of the same formula: 202 meV/atom
&SYSTEM
  ibrav = 0, nat = 12, ntyp = 2
/
ATOMIC_SPECIES
Be 9.01 Be.upf
B 10.81 B.upf
CELL_PARAMETERS angstrom
5.698 0.000 0.000
-2.849 4.934 0.000
0.000 0.000 3.098
ATOMIC_POSITIONS angstrom
Be -2.108 3.778 0.775
Be 0.631 1.220 0.775
Be 1.372 0.064 2.324
Be 1.477 4.871 0.775
Be 2.218 3.715 2.324
Be 4.957 1.156 2.324
B -0.836 2.483 0.775
B -0.280 4.417 0.775
B 1.116 2.969 0.775
B 1.733 1.966 2.324
B 3.129 0.518 2.324
B 3.685 2.451 2.324

! PBE K2LiIn2Te4, optimized geometry; values from VASP
! space-group type: C2/m
! formation energy without anion corrections: -0.6603 eV per atom
&SYSTEM
  ibrav = 0, nat = 9, ntyp = 4
/
ATOMIC_SPECIES
K 39.10 K.upf
Li 6.94 Li.upf
In 114.82 In.upf
Te 127.60 Te.upf
CELL_PARAMETERS angstrom
7.804 -2.563 0.000
7.804 2.563 0.000
-2.079 0.000 7.875
ATOMIC_POSITIONS angstrom
K 1.825 0.000 0.571
K 11.705 0.000 7.304
Li -1.039 0.000 3.938
In 4.513 0.000 3.686
In 9.017 0.000 4.190
Te 1.828 0.000 5.415
Te 7.281 0.000 1.964
Te 6.248 0.000 5.911
Te 11.702 0.000 2.460

! PBE La2Nd2Y7, optimized geometry; values from VASP
! space-group type: C2/m
! ΔH_f (0 K): 0.207 eV/atom
! distance to the lowest polymorph of the same formula: 54 meV/atom
&SYSTEM
  ibrav = 0, nat = 11, ntyp = 3
/
ATOMIC_SPECIES
La 138.91 La.upf
Nd 144.24 Nd.upf
Y 88.91 Y.upf
CELL_PARAMETERS angstrom
5.062 -5.649 0.000
5.062 5.649 0.000
-2.593 0.000 6.618
ATOMIC_POSITIONS angstrom
La 5.062 3.816 0.000
La 5.062 -3.816 0.000
Nd 2.226 0.000 3.832
Nd 5.305 0.000 2.785
Y -1.297 0.000 3.309
Y 2.521 2.816 2.054
Y 3.146 0.000 0.079
Y 5.010 2.816 4.563
Y 2.521 -2.816 2.054
Y 4.386 0.000 6.538
Y 5.010 -2.816 4.563

! PBE La2TlAg, optimized geometry; values from VASP
! space-group type: R3m
! ΔH_f (0 K): -0.022 eV/atom
! distance to the lowest polymorph of the same formula: 320 meV/atom
&SYSTEM
  ibrav = 0, nat = 12, ntyp = 3
/
ATOMIC_SPECIES
La 138.91 La.upf
Tl 204.38 Tl.upf
Ag 107.87 Ag.upf
CELL_PARAMETERS angstrom
3.823 0.000 0.000
-1.911 3.310 0.000
0.000 0.000 29.641
ATOMIC_POSITIONS angstrom
La 0.000 0.000 0.000
La 0.000 0.000 6.925
La 0.000 2.207 19.760
La 0.000 2.207 26.685
La 1.911 1.103 9.880
La 1.911 1.103 16.805
Tl 0.000 0.000 22.414
Tl 0.000 2.207 12.534
Tl 1.911 1.103 2.654
Ag 0.000 0.000 14.508
Ag 0.000 2.207 4.628
Ag 1.911 1.103 24.388

! PBE ZrScAs4, optimized geometry; values from VASP
! space-group type: F-43m
! ΔH_f (0 K): -0.029 eV/atom
&SYSTEM
  ibrav = 0, nat = 6, ntyp = 3
/
ATOMIC_SPECIES
Zr 91.22 Zr.upf
Sc 44.96 Sc.upf
As 74.92 As.upf
CELL_PARAMETERS angstrom
0.000 3.916 3.916
3.916 0.000 3.916
3.916 3.916 0.000
ATOMIC_POSITIONS angstrom
Zr 0.000 0.000 0.000
Sc 1.958 1.958 1.958
As 4.898 2.935 2.935
As 2.935 4.898 2.935
As 2.935 2.935 4.898
As 4.898 4.898 4.898

! PBE CaTbSm2, optimized geometry; values from VASP
! space-group type: P4/mmm
! ΔH_f (0 K): 0.053 eV/atom
! distance to the lowest polymorph of the same formula: 8 meV/atom
&SYSTEM
  ibrav = 0, nat = 4, ntyp = 3
/
ATOMIC_SPECIES
Ca 40.08 Ca.upf
Tb 158.93 Tb.upf
Sm 150.36 Sm.upf
CELL_PARAMETERS angstrom
3.650 0.000 0.000
0.000 3.650 0.000
0.000 0.000 10.482
ATOMIC_POSITIONS angstrom
Ca 0.000 0.000 0.000
Tb 0.000 0.000 5.241
Sm 1.825 1.825 2.798
Sm 1.825 1.825 7.683

! PBE MgSb2TeCl, optimized geometry; values from VASP
! space-group type: P4/mmm
! formation energy without anion corrections: 0.3445 eV per atom
! distance to the lowest polymorph of the same formula: 0 meV/atom
&SYSTEM
  ibrav = 0, nat = 5, ntyp = 4
/
ATOMIC_SPECIES
Mg 24.30 Mg.upf
Sb 121.76 Sb.upf
Te 127.60 Te.upf
Cl 35.45 Cl.upf
CELL_PARAMETERS angstrom
5.445 0.000 0.000
0.000 5.445 0.000
0.000 0.000 5.301
ATOMIC_POSITIONS angstrom
Mg 0.000 0.000 0.000
Sb 0.000 2.723 0.000
Sb 2.723 0.000 0.000
Te 0.000 0.000 2.651
Cl 2.723 2.723 2.651

! PBE Gd2ThAg, optimized geometry; values from VASP
! space-group type: P4/mmm
! ΔH_f (0 K): -0.136 eV/atom
! distance to the lowest polymorph of the same formula: 0 meV/atom
&SYSTEM
  ibrav = 0, nat = 4, ntyp = 3
/
ATOMIC_SPECIES
Gd 157.25 Gd.upf
Th 232.04 Th.upf
Ag 107.87 Ag.upf
CELL_PARAMETERS angstrom
3.629 0.000 0.000
0.000 3.629 0.000
0.000 0.000 8.620
ATOMIC_POSITIONS angstrom
Gd 0.000 0.000 1.893
Gd 0.000 0.000 6.726
Th 1.814 1.814 4.310
Ag 1.814 1.814 0.000

! PBE Tm8TcRh2, optimized geometry; values from VASP
! space-group type: C2/m
! ΔH_f (0 K): -0.400 eV/atom
! distance to the lowest polymorph of the same formula: 0 meV/atom
&SYSTEM
  ibrav = 0, nat = 11, ntyp = 3
/
ATOMIC_SPECIES
Tm 168.93 Tm.upf
Tc 98.00 Tc.upf
Rh 102.91 Rh.upf
CELL_PARAMETERS angstrom
8.478 -2.445 0.000
8.478 2.445 0.000
-2.074 0.000 6.425
ATOMIC_POSITIONS angstrom
Tm -0.081 0.000 1.895
Tm 1.709 0.000 5.207
Tm 4.530 0.000 3.439
Tm 6.774 0.000 0.324
Tm 8.109 0.000 6.101
Tm 10.353 0.000 2.986
Tm 13.174 0.000 1.218
Tm 14.965 0.000 4.530
Tc 7.442 0.000 3.213
Rh 2.758 0.000 1.285
Rh 12.125 0.000 5.141

! PBE POsBr2, optimized geometry; values from VASP
! space-group type: R-3m
! formation energy without anion corrections: 1.1154 eV per atom
! distance to the lowest polymorph of the same formula: 1178 meV/atom
&SYSTEM
  ibrav = 0, nat = 12, ntyp = 3
/
ATOMIC_SPECIES
P 30.97 P.upf
Os 190.23 Os.upf
Br 79.90 Br.upf
CELL_PARAMETERS angstrom
3.748 0.000 0.000
-1.874 3.246 0.000
0.000 0.000 23.554
ATOMIC_POSITIONS angstrom
P 0.000 0.000 0.000
P 0.000 2.164 15.703
P 1.874 1.082 7.851
Os 0.000 0.000 11.777
Os 0.000 2.164 3.926
Os 1.874 1.082 19.628
Br 0.000 0.000 2.606
Br 0.000 0.000 20.948
Br 0.000 2.164 13.097
Br 0.000 2.164 18.309
Br 1.874 1.082 5.245
Br 1.874 1.082 10.457

Number 1: total magnetization 0.000 μB per atom. Number 2: total magnetization 0.508 μB per atom. Number 3: total magnetization 0.000 μB per atom. Number 4: total magnetization 0.000 μB per atom. Number 5: total magnetization 0.000 μB per atom. Number 6: total magnetization 0.000 μB per atom. Number 7: total magnetization 0.000 μB per atom. Number 8: total magnetization 0.000 μB per atom. Number 9: total magnetization 0.000 μB per atom. Number 10: total magnetization 3.651 μB per atom. Number 11: total magnetization 0.000 μB per atom. Number 12: total magnetization 0.000 μB per atom.